Crystalline CuSiAs2 at its relaxed geometry. Source: Alexandria, functional PBE-GGA.

- ΔE_f (raw) (eV/atom) = 0.214
- E_tot (eV per atom) = -4.490
- relative energy among the computed polymorphs (eV per formula unit) = 0.90

Structure (POSCAR):
```
CuSiAs2
1.0
4.470 0.000 0.000
0.000 3.558 0.000
-1.387 0.000 4.377
Cu Si As
1 1 2
Direct
0.000 0.000 0.000 Cu
0.500 0.000 0.500 Si
0.228 0.500 0.736 As
0.772 0.500 0.264 As
```